#a
The following is a GGA-PBEsol calculation of a geometry-optimized LaTlAg2 structure, from Alexandria via LeMat-Bulk.

## Properties
Density of states at the Fermi level: 2.8 states/eV/cell

Lattice parameters (Å, degrees): 3.3742 4.8357 5.9234 90.00 90.00 90.00
Last column: nearest neighbours and their distance in Å.
Sites, in units of the cell vectors:
La 0.0000 0.0000 0.0000  8 Ag 3.28, 2 La 3.37, 4 Tl 3.41
Tl 0.5000 0.0000 0.5000  4 Ag 2.86
Ag 0.5000 0.5000 0.2409  2 Ag 2.85-3.07, 2 Tl 2.86
Ag 0.5000 0.5000 0.7591  2 Ag 2.85-3.07, 2 Tl 2.86

***

#b
The following is a GGA-PBEsol calculation of a geometry-optimized LaTlAg2 structure, from Alexandria via LeMat-Bulk.

## Properties
Density of states at the Fermi level: 6.2 states/eV/cell

Lattice parameters (Å, degrees): 7.1323 7.1323 7.1323 90.00 90.00 90.00
Last column: nearest neighbours and their distance in Å.
Sites, in units of the cell vectors:
La 0.0000 0.0000 0.0000  8 Ag 3.09
La 0.0000 0.5000 0.5000  8 Ag 3.09
La 0.5000 0.0000 0.5000  8 Ag 3.09
La 0.5000 0.5000 0.0000  8 Ag 3.09
Tl 0.0000 0.0000 0.5000  8 Ag 3.09
Tl 0.0000 0.5000 0.0000  8 Ag 3.09
Tl 0.5000 0.0000 0.0000  8 Ag 3.09
Tl 0.5000 0.5000 0.5000  8 Ag 3.09
Ag 0.2500 0.2500 0.2500  4 La 3.09, 4 Tl 3.09
Ag 0.2500 0.2500 0.7500  4 Tl 3.09, 4 La 3.09
Ag 0.2500 0.7500 0.2500  4 Tl 3.09, 4 La 3.09
Ag 0.2500 0.7500 0.7500  4 La 3.09, 4 Tl 3.09
Ag 0.7500 0.2500 0.2500  4 Tl 3.09, 4 La 3.09
Ag 0.7500 0.2500 0.7500  4 La 3.09, 4 Tl 3.09
Ag 0.7500 0.7500 0.2500  4 La 3.09, 4 Tl 3.09
Ag 0.7500 0.7500 0.7500  4 Tl 3.09, 4 La 3.09

***

#c
The following is a GGA-PBEsol calculation of a geometry-optimized LaTlAg2 structure, from Alexandria via LeMat-Bulk.

## Properties
Density of states at the Fermi level: 8.0 states/eV/cell

Lattice parameters (Å, degrees): 7.1566 7.1566 7.1566 90.00 90.00 90.00
Last column: nearest neighbours and their distance in Å.
Sites, in units of the cell vectors:
La 0.0000 0.0000 0.0000  4 Tl 3.10, 4 Ag 3.10
La 0.0000 0.5000 0.5000  4 Tl 3.10, 4 Ag 3.10
La 0.5000 0.0000 0.5000  4 Tl 3.10, 4 Ag 3.10
La 0.5000 0.5000 0.0000  4 Tl 3.10, 4 Ag 3.10
Tl 0.2500 0.2500 0.7500  4 La 3.10, 4 Ag 3.10
Tl 0.2500 0.7500 0.2500  4 La 3.10, 4 Ag 3.10
Tl 0.7500 0.2500 0.2500  4 La 3.10, 4 Ag 3.10
Tl 0.7500 0.7500 0.7500  4 La 3.10, 4 Ag 3.10
Ag 0.0000 0.0000 0.5000  4 Tl 3.10, 4 Ag 3.10
Ag 0.0000 0.5000 0.0000  4 Tl 3.10, 4 Ag 3.10
Ag 0.2500 0.2500 0.2500  4 La 3.10, 4 Ag 3.10
Ag 0.2500 0.7500 0.7500  4 La 3.10, 4 Ag 3.10
Ag 0.5000 0.0000 0.0000  4 Tl 3.10, 4 Ag 3.10
Ag 0.5000 0.5000 0.5000  4 Tl 3.10, 4 Ag 3.10
Ag 0.7500 0.2500 0.7500  4 La 3.10, 4 Ag 3.10
Ag 0.7500 0.7500 0.2500  4 La 3.10, 4 Ag 3.10

***

In terms of stability, #b leads; the second structure lies 0.053 eV/atom higher.